(1)
VASP calculation (PBE-GGA) on a geometry-optimized MgTePdN2 structure.

Output
crystal system = tetragonal
ΔE_f (raw) = 1.0454 eV/atom

a b c (Å): 4.057 4.057 5.802
angles (deg): 90.00 90.00 90.00
Fractional coordinates of all 5 atoms:
Mg: 0.500 0.500 0.500
Te: 0.000 0.000 0.500
Pd: 0.000 0.000 0.000
N: 0.000 0.500 0.000
N: 0.500 0.000 0.000

***

(2)
VASP calculation (PBE-GGA) on a geometry-optimized MgTi2PdN structure.

Output
crystal system = tetragonal
ΔE_f (raw) = 0.9386 eV/atom

a b c (Å): 5.056 3.757 5.056
angles (deg): 90.00 90.00 90.00
Fractional coordinates of all 5 atoms:
Mg: 0.500 0.500 0.500
N: 0.000 0.500 0.000
Pd: 0.000 0.000 0.000
Ti: 0.000 0.000 0.500
Ti: 0.500 0.000 0.000

***

Number 1: relative energy among the computed polymorphs 0.0000 eV/atom, density of states at the Fermi level 2.4 states/eV per cell. Number 2: relative energy among the computed polymorphs 1.7350 eV/atom, density of states at the Fermi level 6.2 states/eV per cell.